CaMn2InGa after structural relaxation, computed with PBE.

```
data_CaMn2InGa
_symmetry_space_group_name_H-M 'P 4/m m m'
_symmetry_Int_Tables_number 123
_symmetry_space_group_name_Hall '-P 4 2'
_cell_length_a 5.084
_cell_length_b 5.084
_cell_length_c 5.791
_cell_angle_alpha 90.00
_cell_angle_beta 90.00
_cell_angle_gamma 90.00
loop_
_atom_site_label
_atom_site_fract_x
_atom_site_fract_y
_atom_site_fract_z
_atom_site_occupancy
Ca1 0.000 0.000 0.000 1
Mn1 0.000 0.500 0.500 1
In1 0.000 0.000 0.500 1
Ga1 0.500 0.500 0.000 1
```

Results
calculated formation energy: 791 meV/atom
final energy: -4.430 eV per atom



CaMnInGa2 after structural relaxation, computed with PBE.

```
data_CaMnInGa2
_symmetry_space_group_name_H-M 'P 4/m m m'
_symmetry_Int_Tables_number 123
_symmetry_space_group_name_Hall '-P 4 2'
_cell_length_a 4.686
_cell_length_b 4.686
_cell_length_c 4.954
_cell_angle_alpha 90.00
_cell_angle_beta 90.00
_cell_angle_gamma 90.00
loop_
_atom_site_label
_atom_site_fract_x
_atom_site_fract_y
_atom_site_fract_z
_atom_site_occupancy
Ca1 0.000 0.000 0.000 1
Mn1 0.500 0.500 0.500 1
In1 0.500 0.500 0.000 1
Ga1 0.000 0.500 0.500 1
```

Results
calculated formation energy: -151 meV/atom
final energy: -4.144 eV per atom



CaIn2GaNi after structural relaxation, computed with PBE.

```
data_CaIn2GaNi
_symmetry_space_group_name_H-M 'P 4/m m m'
_symmetry_Int_Tables_number 123
_symmetry_space_group_name_Hall '-P 4 2'
_cell_length_a 5.000
_cell_length_b 5.000
_cell_length_c 4.659
_cell_angle_alpha 90.00
_cell_angle_beta 90.00
_cell_angle_gamma 90.00
loop_
_atom_site_label
_atom_site_fract_x
_atom_site_fract_y
_atom_site_fract_z
_atom_site_occupancy
Ca1 0.000 0.000 0.000 1
In1 0.000 0.500 0.500 1
Ga1 0.500 0.500 0.000 1
Ni1 0.500 0.500 0.500 1
```

Results
calculated formation energy: -220 meV/atom
final energy: -3.478 eV per atom



CaIn2GaNi2 after structural relaxation, computed with PBE.

```
data_CaIn2GaNi2
_symmetry_space_group_name_H-M 'P 4/m m m'
_symmetry_Int_Tables_number 123
_symmetry_space_group_name_Hall '-P 4 2'
_cell_length_a 4.518
_cell_length_b 4.518
_cell_length_c 6.019
_cell_angle_alpha 90.00
_cell_angle_beta 90.00
_cell_angle_gamma 90.00
loop_
_atom_site_label
_atom_site_fract_x
_atom_site_fract_y
_atom_site_fract_z
_atom_site_occupancy
Ca1 0.000 0.000 0.000 1
In1 0.500 0.500 0.245 1
Ga1 0.000 0.000 0.500 1
Ni1 0.000 0.500 0.500 1
```

Results
calculated formation energy: -240 meV/atom
final energy: -3.918 eV per atom